(1)
# NaTi3B, relaxed, DFT GGA-PBEsol
# Relative energy among the computed polymorphs = 1953 meV/atom
# Magnetization = 0.00 μB per cell
# Formation energy = 2.305 eV/atom
data_NaTi3B
_chemical_formula_sum 'Na1 Ti3 B1'
_symmetry_space_group_name_H-M 'P 1'
_symmetry_Int_Tables_number 1
_symmetry_space_group_name_Hall 'P 1'
_cell_length_a 4.4560
_cell_length_b 4.4560
_cell_length_c 4.4560
_cell_angle_alpha 90.00
_cell_angle_beta 90.00
_cell_angle_gamma 90.00
loop_
_atom_site_label
_atom_site_type_symbol
_atom_site_fract_x
_atom_site_fract_y
_atom_site_fract_z
Na1 Na 0.0000 0.0000 0.0000
Ti1 Ti 0.0000 0.0000 0.5000
Ti2 Ti 0.0000 0.5000 0.0000
Ti3 Ti 0.5000 0.0000 0.0000
B1 B 0.5000 0.5000 0.5000

***

(2)
# Sr2Si2Sb, relaxed, DFT GGA-PBEsol
# Magnetization = 0.00 μB per cell
# Raw formation energy = -2.1 eV per formula unit
data_Sr2Si2Sb
_chemical_formula_sum 'Sr2 Si2 Sb1'
_symmetry_space_group_name_H-M 'P 1'
_symmetry_Int_Tables_number 1
_symmetry_space_group_name_Hall 'P 1'
_cell_length_a 9.8725
_cell_length_b 9.8725
_cell_length_c 9.8725
_cell_angle_alpha 158.29
_cell_angle_beta 158.29
_cell_angle_gamma 30.89
loop_
_atom_site_label
_atom_site_type_symbol
_atom_site_fract_x
_atom_site_fract_y
_atom_site_fract_z
Sr1 Sr 0.1110 0.1110 0.0000
Sr2 Sr 0.8890 0.8890 0.0000
Si1 Si 0.2500 0.7500 0.5000
Si2 Si 0.7500 0.2500 0.5000
Sb1 Sb 0.5000 0.5000 0.0000

***

(3)
# CrIn2Tc, relaxed, DFT GGA-PBEsol
# Relative energy among the computed polymorphs = 2 meV/atom
# Magnetization = 3.50 μB per cell
# Formation energy = 0.363 eV/atom
data_CrIn2Tc
_chemical_formula_sum 'Cr1 In2 Tc1'
_symmetry_space_group_name_H-M 'P 1'
_symmetry_Int_Tables_number 1
_symmetry_space_group_name_Hall 'P 1'
_cell_length_a 4.5643
_cell_length_b 4.5643
_cell_length_c 4.5643
_cell_angle_alpha 60.00
_cell_angle_beta 60.00
_cell_angle_gamma 60.00
loop_
_atom_site_label
_atom_site_type_symbol
_atom_site_fract_x
_atom_site_fract_y
_atom_site_fract_z
Cr1 Cr 0.0000 0.0000 0.0000
In1 In 0.2500 0.2500 0.2500
In2 In 0.7500 0.7500 0.7500
Tc1 Tc 0.5000 0.5000 0.5000

***

(4)
# Sr2Au, relaxed, DFT GGA-PBEsol
# Magnetization = 0.00 μB per cell
# Formation energy = -0.468 eV/atom
data_Sr2Au
_chemical_formula_sum 'Sr2 Au1'
_symmetry_space_group_name_H-M 'P 1'
_symmetry_Int_Tables_number 1
_symmetry_space_group_name_Hall 'P 1'
_cell_length_a 4.4408
_cell_length_b 4.4408
_cell_length_c 7.0793
_cell_angle_alpha 90.00
_cell_angle_beta 90.00
_cell_angle_gamma 120.00
loop_
_atom_site_label
_atom_site_type_symbol
_atom_site_fract_x
_atom_site_fract_y
_atom_site_fract_z
Sr1 Sr 0.3333 0.6667 0.2610
Sr2 Sr 0.6667 0.3333 0.7390
Au1 Au 0.0000 0.0000 0.5000

***

(5)
# YPSeN2, relaxed, DFT GGA-PBEsol
# Magnetization = 2.51 μB per cell
# Raw formation energy = 5.6 eV per formula unit
data_YPSeN2
_chemical_formula_sum 'Y1 P1 Se1 N2'
_symmetry_space_group_name_H-M 'P 1'
_symmetry_Int_Tables_number 1
_symmetry_space_group_name_Hall 'P 1'
_cell_length_a 4.3218
_cell_length_b 4.3218
_cell_length_c 5.6480
_cell_angle_alpha 90.00
_cell_angle_beta 90.00
_cell_angle_gamma 90.00
loop_
_atom_site_label
_atom_site_type_symbol
_atom_site_fract_x
_atom_site_fract_y
_atom_site_fract_z
Y1 Y 0.0000 0.0000 0.0000
P1 P 0.5000 0.5000 0.5000
Se1 Se 0.0000 0.0000 0.5000
N1 N 0.0000 0.5000 0.0000
N2 N 0.5000 0.0000 0.0000

***

(6)
# HfScSCl2, relaxed, DFT GGA-PBEsol
# Magnetization = 1.66 μB per cell
# Raw formation energy = -3.9 eV per formula unit
data_HfScSCl2
_chemical_formula_sum 'Hf1 Sc1 S1 Cl2'
_symmetry_space_group_name_H-M 'P 1'
_symmetry_Int_Tables_number 1
_symmetry_space_group_name_Hall 'P 1'
_cell_length_a 4.8192
_cell_length_b 4.8192
_cell_length_c 4.9206
_cell_angle_alpha 90.00
_cell_angle_beta 90.00
_cell_angle_gamma 90.00
loop_
_atom_site_label
_atom_site_type_symbol
_atom_site_fract_x
_atom_site_fract_y
_atom_site_fract_z
Hf1 Hf 0.0000 0.0000 0.0000
Sc1 Sc 0.5000 0.5000 0.5000
S1 S 0.0000 0.0000 0.5000
Cl1 Cl 0.0000 0.5000 0.0000
Cl2 Cl 0.5000 0.0000 0.0000

***

(7)
# TaAgPt2, relaxed, DFT GGA-PBEsol
# Magnetization = 0.00 μB per cell
# Formation energy = -0.133 eV/atom
data_TaAgPt2
_chemical_formula_sum 'Ta1 Ag1 Pt2'
_symmetry_space_group_name_H-M 'P 1'
_symmetry_Int_Tables_number 1
_symmetry_space_group_name_Hall 'P 1'
_cell_length_a 4.4748
_cell_length_b 4.4748
_cell_length_c 4.4748
_cell_angle_alpha 60.00
_cell_angle_beta 60.00
_cell_angle_gamma 60.00
loop_
_atom_site_label
_atom_site_type_symbol
_atom_site_fract_x
_atom_site_fract_y
_atom_site_fract_z
Ta1 Ta 0.0000 0.0000 0.0000
Ag1 Ag 0.2500 0.2500 0.2500
Pt1 Pt 0.5000 0.5000 0.5000
Pt2 Pt 0.7500 0.7500 0.7500

***

(8)
# KIr3Pb, relaxed, DFT GGA-PBEsol
# Magnetization = 1.71 μB per cell
# Formation energy = 2.018 eV/atom
data_KIr3Pb
_chemical_formula_sum 'K1 Ir3 Pb1'
_symmetry_space_group_name_H-M 'P 1'
_symmetry_Int_Tables_number 1
_symmetry_space_group_name_Hall 'P 1'
_cell_length_a 5.0376
_cell_length_b 5.0376
_cell_length_c 5.0376
_cell_angle_alpha 90.00
_cell_angle_beta 90.00
_cell_angle_gamma 90.00
loop_
_atom_site_label
_atom_site_type_symbol
_atom_site_fract_x
_atom_site_fract_y
_atom_site_fract_z
K1 K 0.0000 0.0000 0.0000
Ir1 Ir 0.0000 0.5000 0.5000
Ir2 Ir 0.5000 0.0000 0.5000
Ir3 Ir 0.5000 0.5000 0.0000
Pb1 Pb 0.5000 0.5000 0.5000

***

(9)
# CsRb2AsCl6, relaxed, DFT GGA-PBEsol
# Magnetization = 0.00 μB per cell
# Raw formation energy = -14.0 eV per formula unit
data_CsRb2AsCl6
_chemical_formula_sum 'Cs1 Rb2 As1 Cl6'
_symmetry_space_group_name_H-M 'P 1'
_symmetry_Int_Tables_number 1
_symmetry_space_group_name_Hall 'P 1'
_cell_length_a 7.9621
_cell_length_b 7.9621
_cell_length_c 7.9621
_cell_angle_alpha 60.00
_cell_angle_beta 60.00
_cell_angle_gamma 60.00
loop_
_atom_site_label
_atom_site_type_symbol
_atom_site_fract_x
_atom_site_fract_y
_atom_site_fract_z
Cs1 Cs 0.0000 0.0000 0.0000
Rb1 Rb 0.2500 0.2500 0.2500
Rb2 Rb 0.7500 0.7500 0.7500
As1 As 0.5000 0.5000 0.5000
Cl1 Cl 0.2801 0.2801 0.7199
Cl2 Cl 0.2801 0.7199 0.2801
Cl3 Cl 0.2801 0.7199 0.7199
Cl4 Cl 0.7199 0.2801 0.2801
Cl5 Cl 0.7199 0.2801 0.7199
Cl6 Cl 0.7199 0.7199 0.2801

***

no.,total DFT energy (no corrections) (eV per atom)
1,-4.371
2,-4.361
3,-6.505
4,-3.003
5,-5.582
6,-5.874
7,-7.580
8,-4.902
9,-3.410